Material: CrAg2Mo
Method: DFT, PBE
State: relaxed

a b c (Å): 3.791 3.791 4.488
angles (deg): 90.00 90.00 90.00
Fractional positions:
Cr  0.000  0.000  0.000
Ag  0.000  0.500  0.500
Ag  0.500  0.000  0.500
Mo  0.500  0.500  0.000

Results
Space-group type: P4/mmm (123)
Energy relative to the lowest polymorph listed for this composition, eV per atom: 0.239
Calculated volume, Å³ per cell: 64.5
Calculated density, Mg/m³: 9.4
Energy of formation from the pure elements, eV per atom: 0.578
E_tot, eV/atom: -5.9613



Material: NaPdSe3
Method: DFT, PBE
State: relaxed

a b c (Å): 5.032 5.032 5.032
angles (deg): 90.00 90.00 90.00
Fractional positions:
Na  0.000  0.000  0.000
Pd  0.500  0.500  0.500
Se  0.000  0.000  0.500
Se  0.000  0.500  0.000
Se  0.500  0.000  0.000

Results
Space-group type: Pm-3m (221)
Energy relative to the lowest polymorph listed for this composition, eV per atom: 0.964
Calculated volume, Å³ per cell: 127.4
Calculated density, Mg/m³: 4.8
ΔE_f (raw), eV/atom: 0.89
E_tot, eV/atom: -2.4994



Material: PrNbTcGe2
Method: DFT, PBE
State: relaxed

a b c (Å): 6.543 6.543 6.543
angles (deg): 143.44 143.44 52.67
Fractional positions:
Pr  0.000  0.000  0.000
Nb  0.250  0.750  0.500
Tc  0.750  0.250  0.500
Ge  0.389  0.389  0.000
Ge  0.611  0.611  0.000

Results
Space-group type: I-4m2 (119)
Calculated volume, Å³ per cell: 98.8
Calculated density, Mg/m³: 8.0
Energy of formation from the pure elements, eV per atom: -0.519
E_tot, eV/atom: -7.4087